Record 1
RbCr3Os: optimized geometry, PBE-GGA.

The crystal system is cubic. The polymorph energy (0 for the lowest one) comes out at 2021 meV/atom. For the density, the calculation gives 8.76 g cm⁻³.

```
5
Lattice="4.3422 0.0000 0.0000 0.0000 4.3422 0.0000 0.0000 0.0000 4.3422" Properties=species:S:1:pos:R:3 pbc="T T T"
Rb 0.0000 0.0000 0.0000
Cr 0.0000 0.0000 2.1711
Cr 0.0000 2.1711 0.0000
Cr 2.1711 0.0000 0.0000
Os 2.1711 2.1711 2.1711
```

Record 2
RbCr2Os4: optimized geometry, PBE-GGA.

The crystal system is tetragonal. For the density, the calculation gives 10.80 g cm⁻³.

```
14
Lattice="4.7211 0.0000 0.0000 0.0000 4.7211 0.0000 0.0000 0.0000 13.1153" Properties=species:S:1:pos:R:3 pbc="T T T"
Rb 0.0000 0.0000 0.0000
Rb 2.3605 2.3605 6.5577
Cr 0.0000 0.0000 5.2335
Cr 0.0000 0.0000 7.8818
Cr 2.3605 2.3605 1.3241
Cr 2.3605 2.3605 11.7912
Os 0.0000 0.0000 3.1364
Os 0.0000 0.0000 9.9789
Os 0.0000 2.3605 0.0000
Os 0.0000 2.3605 6.5577
Os 2.3605 0.0000 0.0000
Os 2.3605 0.0000 6.5577
Os 2.3605 2.3605 3.4213
Os 2.3605 2.3605 9.6940
```

Record 3
RbCr3Os: optimized geometry, PBE-GGA.

The crystal system is cubic. The polymorph energy (0 for the lowest one) comes out at 0 meV/atom. For the density, the calculation gives 5.95 g cm⁻³.

```
5
Lattice="4.9396 0.0000 0.0000 0.0000 4.9396 0.0000 0.0000 0.0000 4.9396" Properties=species:S:1:pos:R:3 pbc="T T T"
Rb 0.0000 0.0000 0.0000
Cr 0.0000 2.4698 2.4698
Cr 2.4698 0.0000 2.4698
Cr 2.4698 2.4698 0.0000
Os 2.4698 2.4698 2.4698
```

For each record above, in turn, the calculated Fermi-level density of states values are 7.8, 17.6, 5.7 states/eV per cell.
For each record above, in turn, the calculated VASP energy values are -24.78, -88.74, -34.88 eV per cell.
For each record above, in turn, the calculated ΔH_f (0 K) values are 3.258, 2.966, 1.237 eV/atom.